1.
VASP calculation (PBE) on crystalline BeZnAu4 at its relaxed geometry.

## Properties
Distance to the lowest polymorph of the same formula, meV per atom: 507
Calculated formation energy, meV per atom: 366

Cell: 5.453 5.453 5.453 Å, 60.00 60.00 60.00°
Element x y z (fractional)
Be 0.750 0.750 0.750
Zn 0.000 0.000 0.000
Au 0.875 0.375 0.375
Au 0.375 0.375 0.875
Au 0.375 0.875 0.375
Au 0.375 0.375 0.375

2.
VASP calculation (PBE) on crystalline BeZnAu2 at its relaxed geometry.

## Properties
Distance to the lowest polymorph of the same formula, meV per atom: 38
Calculated formation energy, meV per atom: -119

Cell: 3.185 7.202 5.310 Å, 90.00 90.00 90.00°
Element x y z (fractional)
Be 0.000 0.500 0.992
Be 0.500 0.000 0.492
Zn 0.000 0.000 0.124
Zn 0.500 0.500 0.624
Au 0.000 0.798 0.701
Au 0.000 0.202 0.701
Au 0.500 0.298 0.201
Au 0.500 0.702 0.201

3.
VASP calculation (PBE) on crystalline BeZnAu2 at its relaxed geometry.

## Properties
Distance to the lowest polymorph of the same formula, meV per atom: 168
Calculated formation energy, meV per atom: 10

Cell: 6.919 6.919 5.574 Å, 51.64 51.64 90.00°
Element x y z (fractional)
Be 0.500 0.500 0.000
Be 0.250 0.750 0.500
Zn 0.000 0.000 0.000
Zn 0.750 0.250 0.500
Au 0.566 0.125 0.250
Au 0.184 0.625 0.250
Au 0.375 0.434 0.750
Au 0.875 0.816 0.750

4.
VASP calculation (PBE) on crystalline BeZn2Au at its relaxed geometry.

## Properties
Calculated formation energy, meV per atom: -62

Cell: 6.039 5.748 6.399 Å, 90.00 90.65 90.00°
Element x y z (fractional)
Be 0.000 0.208 0.000
Be 0.000 0.792 0.000
Be 0.000 0.708 0.500
Be 0.000 0.292 0.500
Zn 0.236 0.000 0.726
Zn 0.764 0.000 0.274
Zn 0.236 0.500 0.226
Zn 0.764 0.500 0.774
Zn 0.500 0.727 0.500
Zn 0.500 0.273 0.500
Zn 0.500 0.227 0.000
Zn 0.500 0.773 0.000
Au 0.206 0.000 0.282
Au 0.794 0.000 0.718
Au 0.206 0.500 0.782
Au 0.794 0.500 0.218

5.
VASP calculation (PBE) on crystalline BeZnAu2 at its relaxed geometry.

## Properties
Distance to the lowest polymorph of the same formula, meV per atom: 75
Calculated formation energy, meV per atom: -82

Cell: 3.136 3.136 6.092 Å, 90.00 90.00 90.00°
Element x y z (fractional)
Be 0.500 0.500 0.385
Zn 0.000 0.000 0.632
Au 0.000 0.000 0.208
Au 0.500 0.500 0.871

6.
VASP calculation (PBE) on crystalline Be2ZnAu2 at its relaxed geometry.

## Properties
Distance to the lowest polymorph of the same formula, meV per atom: 18
Calculated formation energy, meV per atom: -121

Cell: 6.747 6.747 2.951 Å, 90.00 90.00 90.00°
Element x y z (fractional)
Be 0.375 0.875 0.000
Be 0.875 0.625 0.000
Be 0.625 0.125 0.000
Be 0.125 0.375 0.000
Zn 0.000 0.000 0.000
Zn 0.500 0.500 0.000
Au 0.167 0.667 0.500
Au 0.667 0.833 0.500
Au 0.833 0.333 0.500
Au 0.333 0.167 0.500

7.
VASP calculation (PBE) on crystalline BeZn2Au3 at its relaxed geometry.

## Properties
Calculated formation energy, meV per atom: -159

Cell: 4.330 6.832 6.521 Å, 90.00 89.99 71.52°
Element x y z (fractional)
Be 0.340 0.320 0.000
Be 0.660 0.680 0.000
Zn 0.000 0.000 0.000
Zn 0.000 0.000 0.500
Zn 0.334 0.332 0.500
Zn 0.666 0.668 0.500
Au 0.825 0.350 0.777
Au 0.500 0.000 0.238
Au 0.175 0.650 0.223
Au 0.825 0.350 0.223
Au 0.175 0.650 0.777
Au 0.500 0.000 0.762

8.
VASP calculation (PBE) on crystalline BeZn2Au at its relaxed geometry.

## Properties
Calculated formation energy, meV per atom: 13

Cell: 4.723 4.723 4.510 Å, 77.06 77.06 34.79°
Element x y z (fractional)
Be 0.750 0.750 0.750
Zn 0.015 0.015 0.978
Zn 0.485 0.485 0.522
Au 0.250 0.250 0.250

9.
VASP calculation (PBE) on crystalline BeZn2Au at its relaxed geometry.

## Properties
Calculated formation energy, meV per atom: -53

Cell: 4.882 4.126 12.368 Å, 90.00 112.50 90.00°
Element x y z (fractional)
Be 0.882 0.000 0.007
Be 0.882 0.500 0.507
Be 0.944 0.000 0.388
Be 0.944 0.500 0.888
Zn 0.199 0.000 0.601
Zn 0.199 0.500 0.101
Zn 0.273 0.000 0.268
Zn 0.273 0.500 0.768
Zn 0.697 0.000 0.164
Zn 0.697 0.500 0.664
Zn 0.635 0.000 0.517
Zn 0.635 0.500 0.017
Au 0.658 0.000 0.796
Au 0.658 0.500 0.296
Au 0.274 0.000 0.934
Au 0.274 0.500 0.434

10.
VASP calculation (PBE) on crystalline Be2ZnAu at its relaxed geometry.

## Properties
Calculated formation energy, meV per atom: 25

Cell: 4.557 4.557 4.046 Å, 70.93 70.93 38.62°
Element x y z (fractional)
Be 0.008 0.008 0.022
Be 0.736 0.736 0.739
Zn 0.492 0.492 0.538
Au 0.264 0.264 0.201

11.
VASP calculation (PBE) on crystalline Be2ZnAu at its relaxed geometry.

## Properties
Calculated formation energy, meV per atom: 11

Cell: 3.001 2.902 6.299 Å, 62.30 90.00 90.00°
Element x y z (fractional)
Be 0.000 0.988 0.010
Be 0.000 0.512 0.490
Zn 0.500 0.250 0.250
Au 0.500 0.750 0.750

12.
VASP calculation (PBE) on crystalline BeZn2Au at its relaxed geometry.

## Properties
Calculated formation energy, meV per atom: 18

Cell: 4.283 4.283 4.283 Å, 60.00 60.00 60.00°
Element x y z (fractional)
Be 0.750 0.750 0.750
Zn 0.000 0.000 0.000
Zn 0.250 0.250 0.250
Au 0.500 0.500 0.500

13.
VASP calculation (PBE) on crystalline Be2ZnAu2 at its relaxed geometry.

## Properties
Distance to the lowest polymorph of the same formula, meV per atom: 0
Calculated formation energy, meV per atom: -138

Cell: 3.320 3.320 6.787 Å, 75.84 75.84 90.00°
Element x y z (fractional)
Be 0.750 0.250 0.500
Be 0.250 0.750 0.500
Zn 0.000 0.000 0.000
Au 0.384 0.384 0.233
Au 0.616 0.616 0.767

14.
VASP calculation (PBE) on crystalline BeZn2Au8 at its relaxed geometry.

## Properties
Distance to the lowest polymorph of the same formula, meV per atom: 42
Calculated formation energy, meV per atom: -71

Cell: 4.009 7.748 7.491 Å, 121.14 105.52 90.00°
Element x y z (fractional)
Be 0.500 0.000 0.000
Zn 0.190 0.690 0.381
Zn 0.810 0.310 0.619
Au 0.662 0.898 0.324
Au 0.338 0.574 0.676
Au 0.122 0.122 0.243
Au 0.000 0.320 0.000
Au 0.878 0.878 0.757
Au 0.662 0.426 0.324
Au 0.338 0.102 0.676
Au 0.000 0.680 0.000

15.
VASP calculation (PBE) on crystalline BeZnAu2 at its relaxed geometry.

## Properties
Distance to the lowest polymorph of the same formula, meV per atom: 57
Calculated formation energy, meV per atom: -100

Cell: 4.371 4.371 4.371 Å, 60.00 60.00 60.00°
Element x y z (fractional)
Be 0.000 0.000 0.000
Zn 0.500 0.500 0.500
Au 0.250 0.250 0.250
Au 0.750 0.750 0.750

16.
VASP calculation (PBE) on crystalline BeZnAu2 at its relaxed geometry.

## Properties
Distance to the lowest polymorph of the same formula, meV per atom: 74
Calculated formation energy, meV per atom: -83

Cell: 4.720 4.720 4.720 Å, 134.08 124.89 74.48°
Element x y z (fractional)
Be 0.750 0.250 0.500
Zn 0.250 0.750 0.500
Au 0.958 0.958 0.000
Au 0.542 0.542 0.000

17.
VASP calculation (PBE) on crystalline Be2ZnAu at its relaxed geometry.

## Properties
Calculated formation energy, meV per atom: 381

Cell: 6.685 6.685 5.351 Å, 51.35 51.35 90.00°
Element x y z (fractional)
Be 0.642 0.125 0.250
Be 0.108 0.625 0.250
Be 0.375 0.358 0.750
Be 0.875 0.892 0.750
Zn 0.500 0.500 0.000
Zn 0.250 0.750 0.500
Au 0.000 0.000 0.000
Au 0.750 0.250 0.500

18.
VASP calculation (PBE) on crystalline BeZn2Au at its relaxed geometry.

## Properties
Calculated formation energy, meV per atom: 102

Cell: 8.510 8.510 8.510 Å, 19.19 19.19 19.19°
Element x y z (fractional)
Be 0.750 0.750 0.750
Zn 0.009 0.009 0.009
Zn 0.251 0.251 0.251
Au 0.490 0.490 0.490

19.
VASP calculation (PBE) on crystalline BeZnAu2 at its relaxed geometry.

## Properties
Distance to the lowest polymorph of the same formula, meV per atom: 60
Calculated formation energy, meV per atom: -98

Cell: 4.363 4.363 3.109 Å, 90.00 90.00 90.00°
Element x y z (fractional)
Be 0.500 0.500 0.500
Zn 0.000 0.000 0.500
Au 0.000 0.500 0.000
Au 0.500 0.000 0.000

20.
VASP calculation (PBE) on crystalline BeZn2Au at its relaxed geometry.

## Properties
Calculated formation energy, meV per atom: 1

Cell: 3.650 3.812 3.999 Å, 90.00 90.00 90.00°
Element x y z (fractional)
Be 0.000 0.500 0.500
Zn 0.000 0.000 0.000
Zn 0.500 0.500 0.000
Au 0.500 0.000 0.500

21.
VASP calculation (PBE) on crystalline BeZn2Au at its relaxed geometry.

## Properties
Calculated formation energy, meV per atom: -54

Cell: 4.809 4.193 12.204 Å, 90.00 110.31 90.00°
Element x y z (fractional)
Be 0.460 0.000 0.251
Be 0.460 0.500 0.751
Be 0.293 0.000 0.044
Be 0.293 0.500 0.544
Zn 0.003 0.000 0.384
Zn 0.003 0.500 0.884
Zn 0.763 0.000 0.755
Zn 0.763 0.500 0.255
Zn 0.858 0.000 0.137
Zn 0.858 0.500 0.637
Zn 0.599 0.000 0.497
Zn 0.599 0.500 0.997
Au 0.187 0.000 0.617
Au 0.187 0.500 0.117
Au 0.361 0.000 0.864
Au 0.361 0.500 0.364

22.
VASP calculation (PBE) on crystalline BeZn2Au at its relaxed geometry.

## Properties
Calculated formation energy, meV per atom: -34

Cell: 5.317 4.069 5.412 Å, 90.00 107.78 90.00°
Element x y z (fractional)
Be 0.725 0.250 0.129
Be 0.275 0.750 0.871
Zn 0.204 0.250 0.115
Zn 0.796 0.750 0.885
Zn 0.899 0.250 0.614
Zn 0.101 0.750 0.386
Au 0.419 0.250 0.693
Au 0.581 0.750 0.307

23.
VASP calculation (PBE) on crystalline BeZn3Au6 at its relaxed geometry.

## Properties
Distance to the lowest polymorph of the same formula, meV per atom: 61
Calculated formation energy, meV per atom: -90

Cell: 7.338 5.432 5.432 Å, 61.11 71.03 71.03°
Element x y z (fractional)
Be 0.500 0.500 0.500
Zn 0.263 0.162 0.162
Zn 0.737 0.838 0.838
Zn 0.000 0.000 0.000
Au 0.331 0.142 0.640
Au 0.669 0.360 0.858
Au 0.669 0.858 0.360
Au 0.331 0.640 0.142
Au 0.146 0.694 0.694
Au 0.854 0.306 0.306

24.
VASP calculation (PBE) on crystalline BeZn12Au6 at its relaxed geometry.

## Properties
Calculated formation energy, meV per atom: -135

Cell: 6.692 6.692 6.692 Å, 89.56 89.56 89.56°
Element x y z (fractional)
Be 0.000 0.000 0.000
Zn 0.558 0.204 0.467
Zn 0.204 0.467 0.558
Zn 0.467 0.558 0.204
Zn 0.442 0.796 0.533
Zn 0.796 0.533 0.442
Zn 0.533 0.442 0.796
Zn 0.948 0.856 0.632
Zn 0.368 0.052 0.144
Zn 0.144 0.368 0.052
Zn 0.052 0.144 0.368
Zn 0.632 0.948 0.856
Zn 0.856 0.632 0.948
Au 0.286 0.119 0.742
Au 0.881 0.258 0.714
Au 0.258 0.714 0.881
Au 0.714 0.881 0.258
Au 0.119 0.742 0.286
Au 0.742 0.286 0.119